# 1
The following is a PBE calculation of a relaxed Cs2RbBaNa crystal, from the Alexandria database.

The calculation puts the magnetization at 0.00 μB/f.u. For the calculated total energy, the calculation gives -5.022 eV per formula unit. For the density, the calculation gives 1.85 g/cm3. Its energy of formation from the pure elements is 17.3 kJ/mol of atoms.

It has space group P4/mmm (No. 123), with a = 7.7762 Å, b = 7.7762 Å, c = 7.6064 Å, α = 90.00°, β = 90.00° and γ = 90.00°. The asymmetric unit holds Cs at (0.0000, 0.5000, 0.0000), Rb at (0.0000, 0.0000, 0.5000), Ba at (0.5000, 0.5000, 0.5000) and Na at (0.5000, 0.5000, 0.0000).

# 2
The following is a PBE calculation of a relaxed CsBa2NaS crystal, from the Alexandria database.

The calculation puts the magnetization at 0.00 μB/f.u. For the calculated total energy, the calculation gives -13.527 eV per formula unit. For the density, the calculation gives 2.78 g/cm3. The formation energy without anion corrections comes out at -3.38 eV/f.u.

It has space group P4/mmm (No. 123), with a = 6.2158 Å, b = 6.2158 Å, c = 7.1467 Å, α = 90.00°, β = 90.00° and γ = 90.00°. The asymmetric unit holds Cs at (0.0000, 0.0000, 0.0000), Ba at (0.0000, 0.5000, 0.5000), Na at (0.5000, 0.5000, 0.0000) and S at (0.0000, 0.0000, 0.5000).

# 3
The following is a PBE calculation of a relaxed CsBa2NaSe crystal, from the Alexandria database.

The calculation puts the magnetization at 0.00 μB/f.u. For the calculated total energy, the calculation gives -12.754 eV per formula unit. For the density, the calculation gives 2.84 g/cm3. The formation energy without anion corrections comes out at -3.25 eV/f.u.

It has space group P4/mmm (No. 123), with a = 6.4105 Å, b = 6.4105 Å, c = 7.2609 Å, α = 90.00°, β = 90.00° and γ = 90.00°. The asymmetric unit holds Cs at (0.0000, 0.0000, 0.0000), Ba at (0.0000, 0.5000, 0.5000), Na at (0.5000, 0.5000, 0.0000) and Se at (0.0000, 0.0000, 0.5000).

# 4
The following is a PBE calculation of a relaxed CsBaNa2Sn crystal, from the Alexandria database.

The calculation puts the magnetization at 0.55 μB/f.u. For the calculated total energy, the calculation gives -9.729 eV per formula unit. For the density, the calculation gives 2.66 g/cm3. Its energy of formation from the pure elements is -6.0 kJ/mol of atoms.

It has space group P4/mmm (No. 123), with a = 6.3347 Å, b = 6.3347 Å, c = 6.7618 Å, α = 90.00°, β = 90.00° and γ = 90.00°. The asymmetric unit holds Cs at (0.0000, 0.0000, 0.0000), Ba at (0.5000, 0.5000, 0.0000), Na at (0.0000, 0.5000, 0.5000) and Sn at (0.5000, 0.5000, 0.5000).

# 5
The following is a PBE calculation of a relaxed CsBa2NaSn crystal, from the Alexandria database.

The calculation puts the magnetization at 0.00 μB/f.u. For the calculated total energy, the calculation gives -10.558 eV per formula unit. For the density, the calculation gives 2.97 g/cm3. Its energy of formation from the pure elements is -10.4 kJ/mol of atoms.

It has space group P4/mmm (No. 123), with a = 6.9282 Å, b = 6.9282 Å, c = 6.3921 Å, α = 90.00°, β = 90.00° and γ = 90.00°. The asymmetric unit holds Cs at (0.0000, 0.0000, 0.0000), Ba at (0.0000, 0.5000, 0.5000), Na at (0.5000, 0.5000, 0.0000) and Sn at (0.5000, 0.5000, 0.5000).

# 6
The following is a PBE calculation of a relaxed CsBa2NaTl crystal, from the Alexandria database.

The calculation puts the magnetization at 0.00 μB/f.u. For the calculated total energy, the calculation gives -8.399 eV per formula unit. For the density, the calculation gives 3.42 g/cm3. Its energy of formation from the pure elements is -0.3 kJ/mol of atoms.

It has space group P4/mmm (No. 123), with a = 6.8971 Å, b = 6.8971 Å, c = 6.4779 Å, α = 90.00°, β = 90.00° and γ = 90.00°. The asymmetric unit holds Cs at (0.0000, 0.0000, 0.0000), Ba at (0.0000, 0.5000, 0.5000), Na at (0.5000, 0.5000, 0.0000) and Tl at (0.5000, 0.5000, 0.5000).

# 7
The following is a PBE calculation of a relaxed CsBaNaTl crystal, from the Alexandria database.

The calculation puts the magnetization at 0.00 μB/f.u. For the calculated total energy, the calculation gives -6.555 eV per formula unit. For the density, the calculation gives 4.95 g/cm3. Its energy of formation from the pure elements is -2.2 kJ/mol of atoms.

It has space group F-43m (No. 216), with a = 8.7392 Å, b = 8.7392 Å, c = 8.7392 Å, α = 90.00°, β = 90.00° and γ = 90.00°. The asymmetric unit holds Cs at (0.0000, 0.0000, 0.0000), Ba at (0.2500, 0.2500, 0.2500), Na at (0.2500, 0.2500, 0.7500) and Tl at (0.0000, 0.0000, 0.5000).

# 8
The following is a PBE calculation of a relaxed CsBaNa2Zn crystal, from the Alexandria database.

The calculation puts the magnetization at 0.00 μB/f.u. For the calculated total energy, the calculation gives -6.245 eV per formula unit. For the density, the calculation gives 2.50 g/cm3. Its energy of formation from the pure elements is 8.6 kJ/mol of atoms.

It has space group P4/mmm (No. 123), with a = 6.3245 Å, b = 6.3245 Å, c = 6.3472 Å, α = 90.00°, β = 90.00° and γ = 90.00°. The asymmetric unit holds Cs at (0.0000, 0.0000, 0.0000), Ba at (0.5000, 0.5000, 0.0000), Na at (0.0000, 0.5000, 0.5000) and Zn at (0.5000, 0.5000, 0.5000).

# 9
The following is a PBE calculation of a relaxed CsBa2NaZn crystal, from the Alexandria database.

The calculation puts the magnetization at 0.00 μB/f.u. For the energy relative to the lowest polymorph listed for this composition, the calculation gives 0.099 eV/f.u. For the calculated total energy, the calculation gives -6.797 eV per formula unit. For the density, the calculation gives 2.65 g/cm3. Its energy of formation from the pure elements is 9.6 kJ/mol of atoms.

It has space group P4/mmm (No. 123), with a = 6.5791 Å, b = 6.5791 Å, c = 7.1709 Å, α = 90.00°, β = 90.00° and γ = 90.00°. The asymmetric unit holds Cs at (0.0000, 0.0000, 0.0000), Ba at (0.0000, 0.5000, 0.5000), Na at (0.5000, 0.5000, 0.0000) and Zn at (0.0000, 0.0000, 0.5000).

# 10
The following is a PBE calculation of a relaxed CsBa2NaZn crystal, from the Alexandria database.

The calculation puts the magnetization at 0.00 μB/f.u. For the energy relative to the lowest polymorph listed for this composition, the calculation gives 0.000 eV/f.u. For the calculated total energy, the calculation gives -6.895 eV per formula unit. For the density, the calculation gives 2.88 g/cm3. Its energy of formation from the pure elements is 7.7 kJ/mol of atoms.

It has space group P4/mmm (No. 123), with a = 6.6634 Å, b = 6.6634 Å, c = 6.4398 Å, α = 90.00°, β = 90.00° and γ = 90.00°. The asymmetric unit holds Cs at (0.0000, 0.0000, 0.0000), Ba at (0.0000, 0.5000, 0.5000), Na at (0.5000, 0.5000, 0.0000) and Zn at (0.5000, 0.5000, 0.5000).

# 11
The following is a PBE calculation of a relaxed CsBaNb crystal, from the Alexandria database.

The calculation puts the magnetization at 0.00 μB/f.u. For the energy relative to the lowest polymorph listed for this composition, the calculation gives 1.061 eV/f.u. For the calculated total energy, the calculation gives -10.453 eV per formula unit. For the density, the calculation gives 4.36 g/cm3. Its energy of formation from the pure elements is 77.0 kJ/mol of atoms.

It has space group P1 (No. 1), with a = 3.6579 Å, b = 7.8922 Å, c = 10.5005 Å, α = 110.79°, β = 97.24° and γ = 96.81°. The asymmetric unit holds Cs at (0.0000, 0.0000, 0.0000), Cs at (0.2827, 0.7881, 0.5788), Ba at (0.0900, 0.5863, 0.1723), Ba at (0.3335, 0.3349, 0.6717), Nb at (0.5500, 0.2990, 0.3537) and Nb at (0.8040, 0.0539, 0.3545).

# 12
The following is a PBE calculation of a relaxed Cs2BaNb2 crystal, from the Alexandria database.

The calculation puts the magnetization at 0.00 μB/f.u. For the calculated total energy, the calculation gives -18.018 eV per formula unit. For the density, the calculation gives 3.95 g/cm3. Its energy of formation from the pure elements is 111.0 kJ/mol of atoms.

It has space group I4/mmm (No. 139), with a = 5.3982 Å, b = 5.3982 Å, c = 17.0000 Å, α = 90.00°, β = 90.00° and γ = 90.00°. The asymmetric unit holds Cs at (0.0000, 0.5000, 0.2500), Ba at (0.0000, 0.0000, 0.0000) and Nb at (0.0000, 0.0000, 0.4372).

# 13
The following is a PBE calculation of a relaxed CsBaNb crystal, from the Alexandria database.

The calculation puts the magnetization at 0.15 μB/f.u. For the energy relative to the lowest polymorph listed for this composition, the calculation gives 1.008 eV/f.u. For the calculated total energy, the calculation gives -10.506 eV per formula unit. For the density, the calculation gives 4.22 g/cm3. Its energy of formation from the pure elements is 75.3 kJ/mol of atoms.

It has space group P1 (No. 1), with a = 3.6995 Å, b = 6.9680 Å, c = 11.4000 Å, α = 101.71°, β = 90.92° and γ = 96.75°. The asymmetric unit holds Cs at (0.0000, 0.0000, 0.0000), Cs at (0.1576, 0.4318, 0.7842), Ba at (0.1265, 0.1289, 0.4357), Ba at (0.3236, 0.5830, 0.2579), Nb at (0.5262, 0.8816, 0.6401) and Nb at (0.8311, 0.6516, 0.5231).